1.
10
Lattice="-1.926 -2.659 2.387 -0.492 -2.489 -3.168 12.797 -6.481 3.104" Properties=species:S:1:pos:R:3 comment="NdSbSe2O | the Alexandria database | PBE | optimized geometry" space_group="P4/nmm (129)" total_magnetization_mub_per_cell=0.000 formation_energy_uncorrected_ev_per_atom=-1.63 pbc="T T T"
Nd 6.480 -5.098 2.999
Nd 5.108 -3.956 -0.285
Sb 0.772 -2.208 1.615
Sb 10.816 -6.847 1.099
Se 8.570 -5.709 0.555
Se 1.130 -1.941 -1.250
Se 10.458 -7.113 3.964
Se 3.017 -3.345 2.159
O 6.398 -3.240 1.552
O 5.190 -5.814 1.162

2.
5
Lattice="3.875 0.000 0.000 0.000 3.875 0.000 -1.937 -1.937 6.106" Properties=species:S:1:pos:R:3 comment="NdSbSeO2 | the Alexandria database | PBE | optimized geometry" space_group="I4mm (107)" total_magnetization_mub_per_cell=0.000 formation_energy_uncorrected_ev_per_atom=-1.97 pbc="T T T"
Nd 0.000 0.000 1.641
Sb 1.937 1.937 4.123
Se 1.937 1.937 0.205
O 1.937 0.000 3.122
O 0.000 1.937 3.122

3.
12
Lattice="5.369 0.000 0.000 0.000 5.369 0.000 -2.684 -2.684 5.760" Properties=species:S:1:pos:R:3 comment="NdSmSb2O8 | the Alexandria database | PBE | optimized geometry" n_ef_per_ev_atom=0.000 space_group="I-4 (82)" total_magnetization_mub_per_cell=0.000 formation_energy_uncorrected_ev_per_atom=-2.30 pbc="T T T"
Nd 2.684 0.000 2.880
Sm 0.000 0.000 0.000
Sb 2.684 2.684 0.000
Sb 0.000 2.684 2.880
O 3.630 4.027 0.998
O 1.739 1.341 0.998
O 1.347 1.761 3.894
O -1.347 -1.761 3.894
O 4.445 1.338 1.866
O 0.924 4.031 1.866
O -1.343 0.945 4.762
O 1.343 -0.945 4.762

4.
11
Lattice="-2.155 -2.261 -3.738 3.962 0.744 -2.735 4.031 -10.638 7.286" Properties=species:S:1:pos:R:3 comment="Sr2Nd4Sb3O2 | the Alexandria database | PBE | optimized geometry" n_ef_per_ev_atom=0.335 space_group="I4/mmm (139)" total_magnetization_mub_per_cell=0.000 formation_energy_uncorrected_ev_per_atom=-1.70 pbc="T T T"
Sr 3.007 -6.944 2.468
Sr 2.831 -5.211 -1.654
Nd 6.120 -9.186 2.029
Nd 3.061 -10.689 1.528
Nd 2.777 -1.467 -0.714
Nd -0.282 -2.969 -1.215
Sb 0.000 0.000 0.000
Sb 1.700 -3.925 1.395
Sb 4.138 -8.230 -0.581
O 3.973 -9.175 3.260
O 1.865 -2.981 -2.446

5.
12
Lattice="4.153 -0.168 -0.002 -0.151 5.264 -0.005 0.004 0.008 7.412" Properties=species:S:1:pos:R:3 comment="Tb2NdSbO8 | the Alexandria database | PBE | optimized geometry" n_ef_per_ev_atom=0.484 space_group="P2/m (10)" total_magnetization_mub_per_cell=1.952 formation_energy_uncorrected_ev_per_atom=-2.45 pbc="T T T"
Tb 2.004 2.554 5.601
Tb 2.002 2.550 1.804
Nd 0.002 0.004 3.706
Sb 0.000 0.000 0.000
O 0.089 3.967 1.568
O 2.274 4.074 7.407
O 3.914 1.133 1.569
O 3.917 1.137 5.836
O 1.731 1.030 -0.002
O 0.091 3.971 5.835
O 1.988 3.834 3.701
O 2.018 1.270 3.704

6.
16
Lattice="-2.788 4.493 5.193 -1.151 -5.825 4.436 6.785 1.285 -2.833" Properties=species:S:1:pos:R:3 comment="NdTl2SbO4 | the Alexandria database | PBE | optimized geometry" n_ef_per_ev_atom=0.020 space_group="Imma (74)" total_magnetization_mub_per_cell=0.000 formation_energy_uncorrected_ev_per_atom=-1.48 pbc="T T T"
Nd 6.210 -1.628 -0.615
Nd 0.029 2.223 5.995
Tl -1.394 2.247 2.597
Tl 1.999 2.889 1.180
Tl 3.393 0.642 -1.416
Tl 4.816 0.619 1.982
Sb 1.423 -0.024 3.398
Sb 3.997 5.778 2.361
O 5.146 -2.221 1.484
O 1.176 2.292 3.857
O 1.670 -2.339 2.939
O -2.300 2.174 5.312
O 3.502 0.437 4.528
O 0.702 -0.093 5.697
O 2.144 0.046 1.099
O -0.655 -0.484 2.269

7.
12
Lattice="5.300 0.000 0.000 0.000 5.300 0.000 -2.650 -2.650 5.665" Properties=species:S:1:pos:R:3 comment="NdTmSb2O8 | the Alexandria database | PBE | optimized geometry" n_ef_per_ev_atom=0.000 space_group="I-4 (82)" total_magnetization_mub_per_cell=0.000 formation_energy_uncorrected_ev_per_atom=-2.32 pbc="T T T"
Nd 2.650 0.000 2.833
Tm 0.000 0.000 0.000
Sb 2.650 2.650 0.000
Sb 0.000 2.650 2.833
O 3.640 3.986 0.969
O 1.660 1.314 0.969
O 1.346 1.740 3.865
O -1.346 -1.740 3.865
O 4.390 1.304 1.801
O 0.910 3.996 1.801
O -1.336 0.990 4.696
O 1.336 -0.990 4.696

8.
7
Lattice="-3.814 0.853 1.871 -2.020 -2.286 -3.077 3.642 -6.093 5.186" Properties=species:S:1:pos:R:3 comment="Nd2TmSb2O2 | the Alexandria database | PBE | optimized geometry" n_ef_per_ev_atom=0.409 space_group="I4/mmm (139)" total_magnetization_mub_per_cell=0.000 formation_energy_uncorrected_ev_per_atom=-2.00 pbc="T T T"
Nd 0.561 -5.269 3.546
Nd -2.753 -2.256 0.433
Tm 0.000 0.000 0.000
Sb 0.273 -2.566 1.727
Sb -2.466 -4.960 2.253
O -1.010 -1.143 -1.538
O -1.907 0.427 0.935

9.
5
Lattice="3.933 0.000 0.000 0.000 3.933 0.000 -1.967 -1.967 6.812" Properties=species:S:1:pos:R:3 comment="NdYSbO2 | the Alexandria database | PBE | optimized geometry" n_ef_per_ev_atom=0.304 space_group="I4mm (107)" total_magnetization_mub_per_cell=0.000 formation_energy_uncorrected_ev_per_atom=-2.63 pbc="T T T"
Nd 1.967 1.967 4.594
Y 0.000 0.000 2.270
Sb 1.967 1.967 0.049
O 1.967 0.000 3.355
O 0.000 1.967 3.355

10.
12
Lattice="-1.276 -3.389 2.045 1.118 -2.638 -4.413 6.898 -1.135 2.426" Properties=species:S:1:pos:R:3 comment="NdY2SbO8 | the Alexandria database | PBE | optimized geometry" n_ef_per_ev_atom=0.517 space_group="P2/m (10)" total_magnetization_mub_per_cell=1.972 formation_energy_uncorrected_ev_per_atom=-2.43 pbc="T T T"
Nd 3.449 -0.567 1.213
Y 5.143 -3.873 0.653
Y 1.597 -3.289 -0.595
Sb 0.000 0.000 0.000
O 2.243 -2.412 -2.711
O 7.038 -5.171 0.140
O 0.529 -4.097 1.374
O 4.497 -4.750 2.769
O -0.298 -1.991 -0.082
O 6.210 -3.065 -1.316
O 3.633 -4.244 -1.030
O 3.106 -2.918 1.088

11.
6
Lattice="-0.960 2.776 -1.787 -2.233 0.825 2.481 11.292 8.605 7.302" Properties=species:S:1:pos:R:3 comment="Nd2ZnSb2O | the Alexandria database | PBE | optimized geometry" n_ef_per_ev_atom=0.809 space_group="P4/mmm (123)" total_magnetization_mub_per_cell=0.005 formation_energy_uncorrected_ev_per_atom=-0.41 pbc="T T T"
Nd 5.532 7.233 4.956
Nd 2.566 4.973 3.038
Zn -1.596 1.801 0.347
Sb 0.214 3.181 1.518
Sb 7.884 9.026 6.477
O 4.049 6.103 3.997

12.
14
Lattice="5.954 1.313 -2.430 -2.288 5.652 -2.430 -0.694 -1.318 6.392" Properties=species:S:1:pos:R:3 comment="NdSc2O4 | the Alexandria database | PBE | optimized geometry" n_ef_per_ev_atom=0.524 space_group="I4_1/amd (141)" total_magnetization_mub_per_cell=0.000 e_above_lowest_polymorph_mev_per_atom=80 formation_energy_uncorrected_ev_per_atom=-3.22 pbc="T T T"
Nd -0.574 3.908 0.766
Nd 5.954 1.314 -2.430
Sc 1.546 5.437 -2.047
Sc 2.343 1.952 2.364
Sc -0.634 1.295 3.579
Sc 2.690 2.611 -0.832
O 3.301 3.455 1.095
O 1.386 0.449 3.634
O 4.602 1.562 -0.636
O 1.993 0.971 0.438
O 4.291 0.969 2.168
O 0.777 3.660 -1.029
O 3.387 4.251 -2.102
O 0.396 2.935 2.560

13.
14
Lattice="-0.637 5.418 -2.817 -2.059 -2.837 -4.991 -5.804 -1.265 3.114" Properties=species:S:1:pos:R:3 comment="Nd2ScO4 | the Alexandria database | PBE | optimized geometry" n_ef_per_ev_atom=0.282 space_group="P2_1/m (11)" total_magnetization_mub_per_cell=0.361 formation_energy_uncorrected_ev_per_atom=-2.97 pbc="T T T"
Nd -2.083 1.298 -5.468
Nd -6.417 0.018 0.774
Nd -3.349 0.287 -0.645
Nd -5.151 1.029 -4.049
Sc -2.652 -1.390 -3.706
Sc -5.848 2.706 -0.988
O -2.895 0.580 -3.030
O -7.325 1.937 -3.668
O -1.175 -0.621 -1.026
O -3.831 -0.711 -5.300
O -4.447 -1.287 0.703
O -4.669 2.027 0.606
O -5.605 0.736 -1.664
O -4.053 2.603 -5.397

14.
20
Lattice="-1.057 4.399 5.129 -1.022 -5.408 4.061 6.748 -0.096 1.106" Properties=species:S:1:pos:R:3 comment="Nd3ScO6 | the Alexandria database | PBE | optimized geometry" n_ef_per_ev_atom=0.000 space_group="R-3 (148)" total_magnetization_mub_per_cell=0.000 e_above_lowest_polymorph_mev_per_atom=0 formation_energy_uncorrected_ev_per_atom=-3.41 pbc="T T T"
Nd 3.619 -3.181 6.859
Nd 1.212 0.022 8.294
Nd -0.382 -1.925 3.657
Nd 5.051 0.820 6.639
Nd 3.456 -1.127 2.002
Nd 1.050 2.076 3.437
Sc 0.000 0.000 0.000
Sc 2.334 -0.552 5.148
O -0.812 -3.653 5.342
O 3.682 -4.760 4.986
O 1.671 -1.774 6.775
O -1.153 0.317 7.723
O 4.302 -1.234 5.639
O 2.010 -2.070 3.675
O 2.659 0.966 6.621
O 0.367 0.130 4.656
O 5.822 -1.422 2.573
O 2.998 0.669 3.521
O 0.987 3.656 5.310
O 5.481 2.548 4.954

15.
20
Lattice="5.759 0.000 0.000 0.000 7.449 0.018 0.000 -1.645 7.266" Properties=species:S:1:pos:R:3 comment="Nd3ScO6 | the Alexandria database | PBE | optimized geometry" n_ef_per_ev_atom=0.000 space_group="Cmc2_1 (36)" total_magnetization_mub_per_cell=0.000 e_above_lowest_polymorph_mev_per_atom=40 formation_energy_uncorrected_ev_per_atom=-3.37 pbc="T T T"
Nd 2.740 5.653 5.095
Nd 5.620 3.705 6.647
Nd 2.481 1.965 4.389
Nd 5.361 3.840 2.894
Nd 5.620 0.152 2.188
Nd 2.740 2.099 0.637
Sc 0.018 0.050 5.915
Sc 2.898 5.755 1.368
O 1.172 3.958 4.709
O 4.052 3.707 4.909
O 1.036 1.635 6.510
O 3.915 5.981 3.047
O 1.020 -1.323 7.009
O 3.779 0.336 5.687
O 0.899 5.469 1.597
O 3.900 7.128 0.274
O 1.036 -0.176 4.237
O 3.915 4.169 0.774
O 1.172 2.098 2.375
O 4.052 1.847 2.575

16.
4
Lattice="-2.338 -0.548 -1.817 -0.842 -2.284 1.772 -4.829 5.350 4.601" Properties=species:S:1:pos:R:3 comment="NdSc2O | the Alexandria database | PBE | optimized geometry" n_ef_per_ev_atom=1.220 space_group="P4/mmm (123)" total_magnetization_mub_per_cell=1.331 e_above_lowest_polymorph_mev_per_atom=481 formation_energy_uncorrected_ev_per_atom=-0.80 pbc="T T T"
Sc -4.033 4.467 3.842
Sc -0.796 0.882 0.759
Nd -4.005 1.259 2.278
O -1.590 -1.416 -0.023

17.
5
Lattice="5.031 0.000 0.000 0.000 5.031 0.000 0.000 0.000 5.031" Properties=species:S:1:pos:R:3 comment="Nd3ScO | the Alexandria database | PBE | optimized geometry" n_ef_per_ev_atom=0.742 space_group="Pm-3m (221)" total_magnetization_mub_per_cell=0.000 formation_energy_uncorrected_ev_per_atom=-1.11 pbc="T T T"
Sc 2.515 2.515 2.515
Nd 0.000 2.515 0.000
Nd 0.000 0.000 2.515
Nd 2.515 0.000 0.000
O 0.000 0.000 0.000

18.
14
Lattice="3.203 0.000 0.000 -1.601 5.255 0.000 0.000 0.000 10.540" Properties=species:S:1:pos:R:3 comment="NdSc2O4 | the Alexandria database | PBE | optimized geometry" n_ef_per_ev_atom=0.127 space_group="Cmcm (63)" total_magnetization_mub_per_cell=0.000 e_above_lowest_polymorph_mev_per_atom=0 formation_energy_uncorrected_ev_per_atom=-3.30 pbc="T T T"
Nd 1.601 1.250 7.905
Nd 0.000 4.005 2.635
Sc 0.000 1.371 4.554
Sc 1.601 3.884 9.824
Sc 0.000 1.371 0.716
Sc 1.601 3.884 5.987
O 1.601 2.837 1.160
O 1.601 2.837 4.110
O 0.000 2.418 9.380
O 0.000 2.418 6.430
O 1.601 4.722 7.905
O 0.000 0.533 2.635
O 1.601 0.000 0.000
O 1.601 0.000 5.270

19.
4
Lattice="-0.794 3.148 0.382 -1.796 0.933 2.568 6.569 2.662 5.707" Properties=species:S:1:pos:R:3 comment="NdSc2O | the Alexandria database | PBE | optimized geometry" n_ef_per_ev_atom=1.122 space_group="R-3m (166)" total_magnetization_mub_per_cell=0.000 e_above_lowest_polymorph_mev_per_atom=0 formation_energy_uncorrected_ev_per_atom=-1.28 pbc="T T T"
Sc 3.855 2.186 3.982
Sc 0.124 4.556 4.675
Nd 0.000 0.000 0.000
O 1.990 3.371 4.329

20.
4
Lattice="-1.308 2.147 2.133 0.197 -0.569 3.242 4.768 3.457 1.993" Properties=species:S:1:pos:R:3 comment="NdScO2 | the Alexandria database | PBE | optimized geometry" n_ef_per_ev_atom=0.143 space_group="R3m (160)" total_magnetization_mub_per_cell=0.000 formation_energy_uncorrected_ev_per_atom=-2.72 pbc="T T T"
Nd 1.897 2.556 3.686
Sc 3.953 4.466 5.573
O 3.777 2.891 1.954
O 0.627 1.095 1.831